The following is a DFT calculation (PBE-GGA) of crystalline Sm4AlIn at its relaxed geometry.

Properties
ρ: 6989 kg/m3
N(E_F): 0.905 states/eV/atom
calculated total energy: -4.47 eV/atom
E above lowest polymorph: 0 meV per atom
total magnetization: 0.000 Bohr magnetons per cell
energy of formation: -0.2465 eV per atom

a b c (Å): 14.3529 3.5573 7.1396
angles (deg): 90.00 104.33 90.00
Positions (direct):
Sm (0.1488, 0.0000, 0.3316)
Sm (0.1519, 0.0000, 0.8196)
Sm (0.3481, 0.5000, 0.1804)
Sm (0.3512, 0.5000, 0.6684)
Sm (0.6488, 0.5000, 0.3316)
Sm (0.6519, 0.5000, 0.8196)
Sm (0.8481, 0.0000, 0.1804)
Sm (0.8512, 0.0000, 0.6684)
Al (0.0000, 0.5000, 0.5000)
Al (0.5000, 0.0000, 0.5000)
In (0.0000, 0.5000, 0.0000)
In (0.5000, 0.0000, 0.0000)